Computed, not measured: an optimized crystal structure of Ac2In3Pb2 at the PBE level of DFT.

Structure (POSCAR):
```
Ac2In3Pb2
1.0
8.6286 0.0000 0.0000
-2.8762 8.1351 0.0000
-2.8762 -4.0675 7.0452
Ac In Pb
4 6 4
Cartesian
-2.4597 -3.4786 6.0251 Ac
0.4165 4.9234 3.5226 Ac
-2.4597 2.6227 4.5427 Ac
1.6268 4.0675 0.0000 Ac
0.6900 2.5628 6.1290 In
5.0624 -0.5290 4.4388 In
-0.6900 2.0749 1.7613 In
0.6900 -2.0749 5.2839 In
-0.6900 6.5892 0.8451 In
3.5662 3.5797 2.6775 In
-0.9665 -1.3669 2.3675 Pb
1.9096 0.7000 3.5226 Pb
4.7858 0.6669 1.1551 Pb
5.7758 4.0675 0.0000 Pb
```

Results
VASP energy: -3.4601 eV per atom
Space-group type: No. 199

Computed, not measured: an optimized crystal structure of LiPtSeI at the PBE level of DFT.

Structure (POSCAR):
```
LiPtSeI
1.0
-2.4504 2.2883 -1.5882
-2.7669 -2.5980 0.5257
-3.0093 5.8503 13.0726
Li Pt Se I
2 2 2 2
Cartesian
-2.0174 3.9219 8.7635 Li
-1.8961 -0.3023 2.4901 Li
-1.5179 1.7132 0.4774 Pt
-4.4060 3.3393 7.2766 Pt
-2.9931 5.8189 13.0022 Se
-2.8719 1.5947 6.7288 Se
-2.0604 2.7679 2.8342 I
-4.9485 4.3941 9.6334 I
```

Results
Relative energy among the computed polymorphs: 180 meV per atom
Formation energy without anion corrections: -0.397 eV per atom
Space-group type: No. 38

Computed, not measured: an optimized crystal structure of CdPbNO2 at the PBE level of DFT.

Structure (POSCAR):
```
CdPbNO2
1.0
4.3350 0.0000 0.0000
0.0000 4.3350 0.0000
0.0000 0.0000 4.4498
Pb N O Cd
1 1 2 1
Cartesian
0.0000 0.0000 0.0000 Pb
0.0000 0.0000 2.2249 N
0.0000 2.1675 0.0000 O
2.1675 0.0000 0.0000 O
2.1675 2.1675 2.2249 Cd
```

Results
Formation energy without anion corrections: 0.447 eV per atom
Space-group type: No. 123

Computed, not measured: an optimized crystal structure of CdSeCl2 at the PBE level of DFT.

Structure (POSCAR):
```
CdSeCl2
1.0
-7.6955 -3.2525 1.3185
-5.2761 -6.3564 1.8160
-5.8503 -3.7929 4.7882
Cl Se Cd
2 1 1
Cartesian
-0.5449 -0.3880 0.2293 Cl
-4.2858 -3.0516 1.8040 Cl
-9.2130 -6.5599 3.8780 Se
-14.1892 -10.1031 5.9727 Cd
```

Results
Relative energy among the computed polymorphs: 308 meV per atom
Formation energy without anion corrections: -0.229 eV per atom
Space-group type: No. 160

Spin magnetization per entry: 0.00, 0.00, 1.12, 2.00 μB per formula unit